[1]
DFT (GGA-PBE) results for a relaxed structure of TiNbCrIr.

Properties
Crystal system: cubic
Total moment, μB/atom: 0.00
Energy relative to the elements, eV per atom: -0.418
Raw total energy, eV/atom: -9.530

abc: 4.4035 4.4035 4.4035
angles: 60.00 60.00 60.00
Element x y z (fractional)
Ti1 0.0000 0.0000 0.0000
Nb1 0.5000 0.5000 0.5000
Cr1 0.2500 0.2500 0.2500
Ir1 0.7500 0.7500 0.7500

=====

[2]
DFT (GGA-PBE) results for a relaxed structure of Cr2Ni4Ir3.

Properties
Crystal system: triclinic
Total moment, μB/atom: 0.00
Energy relative to the elements, eV per atom: -0.080
Raw total energy, eV/atom: -7.742

abc: 4.5229 6.6629 8.0233
angles: 72.66 74.23 89.56
Element x y z (fractional)
Cr1 0.1115 0.3646 0.1104
Cr2 0.3371 0.9187 0.6615
Cr3 0.6629 0.0813 0.3385
Cr4 0.8885 0.6354 0.8896
Ni1 0.0004 0.4136 0.6642
Ni2 0.9996 0.5864 0.3358
Ni3 0.2270 0.9785 0.2197
Ni4 0.3331 0.7505 0.0006
Ni5 0.4433 0.6933 0.4420
Ni6 0.5567 0.3067 0.5580
Ni7 0.6669 0.2495 0.9994
Ni8 0.7730 0.0215 0.7803
Ir1 0.1065 0.1982 0.4436
Ir2 0.2234 0.1356 0.8847
Ir3 0.4412 0.5290 0.7803
Ir4 0.5588 0.4710 0.2197
Ir5 0.7766 0.8644 0.1153
Ir6 0.8935 0.8018 0.5564

=====

[3]
DFT (GGA-PBE) results for a relaxed structure of Cr3Ni6Ir2.

Properties
Crystal system: triclinic
Total moment, μB/atom: 0.00
Energy relative to the elements, eV per atom: 0.072
Raw total energy, eV/atom: -7.317

abc: 4.5042 4.7010 6.6158
angles: 108.92 95.95 91.26
Element x y z (fractional)
Cr1 0.0000 0.0000 0.0000
Cr2 0.0536 0.9015 0.3219
Cr3 0.9464 0.0985 0.6781
Ni1 0.0595 0.4044 0.3174
Ni2 0.2530 0.5233 0.9949
Ni3 0.4647 0.8835 0.8022
Ni4 0.5353 0.1165 0.1978
Ni5 0.7470 0.4767 0.0051
Ni6 0.9405 0.5956 0.6826
Ir1 0.4313 0.2884 0.6015
Ir2 0.5687 0.7116 0.3985

=====

[4]
DFT (GGA-PBE) results for a relaxed structure of CrNi5Ir6.

Properties
Crystal system: monoclinic
Total moment, μB/atom: 0.00
Energy relative to the elements, eV per atom: -0.022
Raw total energy, eV/atom: -7.664

abc: 6.9749 6.9749 4.4819
angles: 92.58 92.58 45.04
Element x y z (fractional)
Cr1 0.0000 0.0000 0.0000
Ni1 0.1628 0.1628 0.6685
Ni2 0.3325 0.3325 0.3354
Ni3 0.5000 0.5000 0.0000
Ni4 0.6675 0.6675 0.6646
Ni5 0.8372 0.8372 0.3315
Ir1 0.0845 0.5840 0.8366
Ir2 0.2513 0.7487 0.5000
Ir3 0.4160 0.9155 0.1634
Ir4 0.5840 0.0845 0.8366
Ir5 0.7487 0.2513 0.5000
Ir6 0.9155 0.4160 0.1634

=====

[5]
DFT (GGA-PBE) results for a relaxed structure of CrNi3Ir.

Properties
Crystal system: cubic
Total moment, μB/atom: 0.00
Energy relative to the elements, eV per atom: 1.288
Raw total energy, eV/atom: -5.877
ΔE to the lowest computed polymorph, eV per atom: 1.299

abc: 4.1376 4.1376 4.1376
angles: 90.00 90.00 90.00
Element x y z (fractional)
Cr1 0.0000 0.0000 0.0000
Ni1 0.0000 0.0000 0.5000
Ni2 0.0000 0.5000 0.0000
Ni3 0.5000 0.0000 0.0000
Ir1 0.5000 0.5000 0.5000

=====

[6]
DFT (GGA-PBE) results for a relaxed structure of Cr2NiIr2.

Properties
Crystal system: tetragonal
Total moment, μB/atom: 0.00
Energy relative to the elements, eV per atom: 0.115
Raw total energy, eV/atom: -8.435
ΔE to the lowest computed polymorph, eV per atom: 0.241

abc: 7.1428 7.1428 2.6732
angles: 90.00 90.00 90.00
Element x y z (fractional)
Cr1 0.1189 0.3811 0.0000
Cr2 0.3811 0.8811 0.0000
Cr3 0.6189 0.1189 0.0000
Cr4 0.8811 0.6189 0.0000
Ni1 0.0000 0.0000 0.0000
Ni2 0.5000 0.5000 0.0000
Ir1 0.1723 0.6723 0.5000
Ir2 0.3277 0.1723 0.5000
Ir3 0.6723 0.8277 0.5000
Ir4 0.8277 0.3277 0.5000